## Tb2Ho3Zn3 (GGA-PBE)

Data for a relaxed structure of Tb2Ho3Zn3.

Cell lengths 3.600, 5.144, 21.400 Å; angles 90.00, 90.00, 90.00 degrees
Space group Immm (No. 71)
One atom of each set of equivalent atoms:
Tb  0.000  0.000  0.228 x4
Ho  0.000  0.000  0.000 x2
Ho  0.000  0.500  0.117 x4
Zn  0.000  0.000  0.500 x2
Zn  0.000  0.500  0.386 x4

Values from the calculation:
Mass density: 8.5 g cm⁻³
E_tot: -3.60 eV per atom



## Tb2HoZn (GGA-PBE)

Data for a relaxed structure of Tb2HoZn.

Cell lengths 5.353, 5.353, 3.766 Å; angles 90.00, 90.00, 90.00 degrees
Space group P4/mmm (No. 123)
One atom of each set of equivalent atoms:
Tb  0.000  0.500  0.000 x2
Ho  0.000  0.000  0.500 x1
Zn  0.500  0.500  0.500 x1

Values from the calculation:
Mass density: 8.4 g cm⁻³
E_tot: -3.78 eV per atom



## Tb2Ho2Zn (GGA-PBE)

Data for a relaxed structure of Tb2Ho2Zn.

Cell lengths 3.545, 3.545, 22.284 Å; angles 90.00, 90.00, 90.00 degrees
Space group I4/mmm (No. 139)
One atom of each set of equivalent atoms:
Tb  0.000  0.000  0.194 x4
Ho  0.000  0.000  0.421 x4
Zn  0.000  0.000  0.000 x2

Values from the calculation:
Mass density: 8.5 g cm⁻³
E_tot: -4.06 eV per atom



## TbHo6Zn2 (GGA-PBE)

Data for a relaxed structure of TbHo6Zn2.

Cell lengths 4.786, 4.786, 24.959 Å; angles 90.00, 90.00, 90.00 degrees
Space group I4/mmm (No. 139)
One atom of each set of equivalent atoms:
Tb  0.000  0.000  0.000 x2
Ho  0.000  0.500  0.108 x8
Ho  0.000  0.500  0.250 x4
Zn  0.000  0.000  0.322 x4

Values from the calculation:
Mass density: 7.4 g cm⁻³
E_tot: -3.59 eV per atom



## Tb3Ho2Zn2 (GGA-PBE)

Data for a relaxed structure of Tb3Ho2Zn2.

Cell lengths 3.546, 30.401, 3.525 Å; angles 90.00, 90.00, 90.00 degrees
Space group Cmmm (No. 65)
One atom of each set of equivalent atoms:
Tb  0.000  0.000  0.000 x2
Tb  0.000  0.119  0.000 x4
Ho  0.000  0.299  0.500 x4
Zn  0.000  0.441  0.500 x4

Values from the calculation:
Mass density: 8.2 g cm⁻³
E_tot: -3.77 eV per atom



## TbHo2Zn5 (GGA-PBE)

Data for a relaxed structure of TbHo2Zn5.

Cell lengths 4.813, 4.813, 14.058 Å; angles 90.00, 90.00, 90.00 degrees
Space group I4/mmm (No. 139)
One atom of each set of equivalent atoms:
Tb  0.000  0.000  0.000 x2
Ho  0.000  0.000  0.267 x4
Zn  0.000  0.000  0.500 x2
Zn  0.000  0.500  0.116 x8

Values from the calculation:
Mass density: 8.3 g cm⁻³
E_tot: -2.84 eV per atom



## Tb2HoZn (GGA-PBE)

Data for a relaxed structure of Tb2HoZn.

Cell lengths 3.571, 3.571, 8.575 Å; angles 90.00, 90.00, 90.00 degrees
Space group P4/mmm (No. 123)
One atom of each set of equivalent atoms:
Tb  0.000  0.000  0.209 x2
Ho  0.500  0.500  0.500 x1
Zn  0.500  0.500  0.000 x1

Values from the calculation:
Mass density: 8.3 g cm⁻³
E_tot: -3.94 eV per atom



## Tb2HoZn2 (GGA-PBE)

Data for a relaxed structure of Tb2HoZn2.

Cell lengths 3.613, 5.137, 13.341 Å; angles 90.00, 97.80, 90.00 degrees
Space group P2_1/m (No. 11)
One atom of each set of equivalent atoms:
Tb  0.046  0.250  0.092 x2
Tb  0.232  0.250  0.465 x2
Ho  0.144  0.750  0.287 x2
Zn  0.361  0.750  0.721 x2
Zn  0.450  0.250  0.900 x2

Values from the calculation:
Mass density: 8.3 g cm⁻³
E_tot: -3.54 eV per atom



## TbHoZn3 (GGA-PBE)

Data for a relaxed structure of TbHoZn3.

Cell lengths 3.598, 26.794, 4.470 Å; angles 90.00, 90.00, 90.00 degrees
Space group Cmcm (No. 63)
One atom of each set of equivalent atoms:
Tb  0.000  0.073  0.250 x4
Ho  0.000  0.209  0.750 x4
Zn  0.000  0.328  0.750 x4
Zn  0.000  0.381  0.250 x4
Zn  0.000  0.477  0.250 x4

Values from the calculation:
Mass density: 8.0 g cm⁻³
E_tot: -2.94 eV per atom



## Tb2HoZn (GGA-PBE)

Data for a relaxed structure of Tb2HoZn.

Cell lengths 7.539, 7.539, 7.539 Å; angles 90.00, 90.00, 90.00 degrees
Space group Fm-3m (No. 225)
One atom of each set of equivalent atoms:
Tb  0.250  0.250  0.250 x8
Ho  0.000  0.000  0.000 x4
Zn  0.000  0.000  0.500 x4

Values from the calculation:
Mass density: 8.5 g cm⁻³
E_tot: -3.73 eV per atom



Question: Which of these has the lowest E_tot?
Answer: Tb2Ho2Zn